(1)
CaPr2CuO5 PBE relaxed; space-group type = P4/mbm, No. 127; ΔE_f (raw) = -2.469 eV per atom
1.0
5.7790 0.0000 0.0000
0.0000 6.7015 0.0000
0.0000 0.0000 6.7015
Ca Pr Cu O
2 4 2 10
direct
0.0000 0.5000 0.5000
0.0000 0.0000 0.0000
0.5000 0.6715 0.1715
0.5000 0.1715 0.3285
0.5000 0.8285 0.6715
0.5000 0.3285 0.8285
0.0000 0.0000 0.5000
0.0000 0.5000 0.0000
0.5000 0.5000 0.5000
0.5000 0.0000 0.0000
0.2349 0.1440 0.6440
0.2349 0.8560 0.3560
0.2349 0.3560 0.1440
0.2349 0.6440 0.8560
0.7651 0.1440 0.6440
0.7651 0.6440 0.8560
0.7651 0.8560 0.3560
0.7651 0.3560 0.1440

(2)
Sr2CaPr3Cu4O12 PBE relaxed; space-group type = Amm2, No. 38; ΔE_f (raw) = -2.110 eV per atom
1.0
10.1980 0.0129 0.0000
-8.7550 5.2297 0.0000
0.0000 0.0000 5.4145
Sr Ca Pr Cu O
2 1 3 4 12
direct
0.3213 0.6787 0.5000
0.0008 0.9992 0.0000
0.4960 0.5040 0.5000
0.8242 0.1758 0.0000
0.1781 0.8220 0.0000
0.6765 0.3235 0.5000
0.9107 0.0893 0.5000
0.4115 0.5885 0.0000
0.5860 0.4140 0.0000
0.0893 0.9107 0.5000
0.6660 0.8345 0.7503
0.1655 0.3340 0.2497
0.1655 0.3340 0.7503
0.6660 0.8345 0.2497
0.8322 0.6569 0.7478
0.3431 0.1678 0.2522
0.3431 0.1678 0.7478
0.8322 0.6569 0.2522
0.7952 0.2048 0.5000
0.2946 0.7054 0.0000
0.7054 0.2946 0.0000
0.1969 0.8031 0.5000

(3)
Ca7CuPt2O12 PBE relaxed; space-group type = C2, No. 5; ΔE_f (raw) = -2.104 eV per atom
1.0
6.6075 0.0073 0.0049
-0.1157 6.6065 0.0049
0.0886 0.0903 6.5596
Ca Cu Pt O
7 1 2 12
direct
0.1117 0.8883 0.0000
0.7562 0.6140 0.3666
0.2475 0.3918 0.1361
0.9066 0.0934 0.5000
0.3860 0.2438 0.6334
0.7545 0.2455 0.0000
0.6082 0.7525 0.8639
0.3088 0.6912 0.5000
0.4887 0.0036 0.2494
0.9964 0.5113 0.7506
0.5193 0.9054 0.5440
0.7009 0.4278 0.6981
0.0946 0.4807 0.4560
0.9237 0.5502 0.0516
0.4498 0.0763 0.9484
0.2920 0.5955 0.7932
0.1949 0.0778 0.3087
0.5722 0.2991 0.3019
0.4045 0.7080 0.2068
0.0614 0.2118 0.8149
0.7882 0.9386 0.1851
0.9222 0.8051 0.6913

(4)
CaCu3Pt4O12 PBE relaxed; space-group type = Im-3, No. 204; ΔE_f (raw) = -0.724 eV per atom
1.0
-5.4570 -2.9392 -2.2355
3.6698 -4.3825 3.2774
-1.6602 4.9332 4.0400
Ca Cu Pt O
1 3 4 12
direct
0.0000 0.0000 0.0000
0.5000 0.5000 0.0000
0.5000 0.0000 0.5000
0.0000 0.5000 0.5000
0.0000 0.0000 0.5000
0.5000 0.0000 0.0000
0.0000 0.5000 0.0000
0.5000 0.5000 0.5000
0.6944 0.8342 0.5286
0.6944 0.1658 0.8602
0.3056 0.8342 0.1398
0.3056 0.1658 0.4714
0.8342 0.5286 0.6944
0.1658 0.8602 0.6944
0.8342 0.1398 0.3056
0.1658 0.4714 0.3056
0.5286 0.6944 0.8342
0.8602 0.6944 0.1658
0.1398 0.3056 0.8342
0.4714 0.3056 0.1658

(5)
Ca2PuCuO6 PBE relaxed; space-group type = P2_1/c, No. 14; ΔE_f (raw) = -2.392 eV per atom
1.0
5.4639 0.0000 0.1899
0.0000 5.5742 0.0000
0.3055 0.0000 8.9101
Ca Pu Cu O
4 2 2 12
direct
0.0452 0.9472 0.2601
0.5452 0.5528 0.7601
0.9548 0.0528 0.7399
0.4548 0.4472 0.2399
0.5000 0.0000 0.5000
0.0000 0.5000 0.0000
0.5000 0.0000 0.0000
0.0000 0.5000 0.5000
0.2915 0.7233 0.0583
0.7915 0.7767 0.5583
0.7085 0.2767 0.9417
0.2085 0.2233 0.4417
0.2838 0.7157 0.4181
0.7838 0.7843 0.9181
0.7162 0.2843 0.5819
0.2162 0.2157 0.0819
0.8625 0.5617 0.2048
0.3625 0.9383 0.7048
0.1375 0.4383 0.7952
0.6375 0.0617 0.2952

(6)
CaPuCu2O8 PBE relaxed; space-group type = I-4m2, No. 119; ΔE_f (raw) = -1.262 eV per atom
1.0
5.8831 0.3529 0.0000
-2.2931 5.4293 0.0000
-1.7950 -2.8911 4.8120
Ca Pu Cu O
1 1 2 8
direct
0.0000 0.0000 0.0000
0.2500 0.7500 0.5000
0.7500 0.2500 0.5000
0.5000 0.5000 0.0000
0.3797 0.0466 0.3331
0.3052 0.5166 0.2114
0.3052 0.0937 0.7886
0.7135 0.0466 0.6669
0.9063 0.6948 0.2114
0.9534 0.2865 0.3331
0.9534 0.6203 0.6669
0.4834 0.6948 0.7886

(7)
CaPu2CuO8 PBE relaxed; space-group type = Cmmm, No. 65; ΔE_f (raw) = -2.285 eV per atom
1.0
4.8722 0.0609 -0.0032
0.1191 4.8711 -0.0056
0.0046 0.0075 6.9060
Ca Pu Cu O
1 2 1 8
direct
0.0000 0.0000 0.5000
0.5000 0.5000 0.7558
0.5000 0.5000 0.2442
0.0000 0.0000 0.0000
0.2154 0.7833 0.2342
0.6897 0.6907 0.0000
0.7847 0.2166 0.2341
0.7846 0.2167 0.7658
0.3103 0.3093 0.0000
0.2153 0.7834 0.7659
0.6768 0.6781 0.5000
0.3232 0.3219 0.5000

(8)
RbCaCuO2 PBE relaxed; space-group type = Cmme, No. 67; ΔE_f (raw) = -1.578 eV per atom
1.0
-1.3965 -0.4144 -4.6964
3.9176 -5.3220 -0.6953
-6.7586 -1.1021 2.1070
Rb Ca Cu O
2 2 2 4
direct
0.2073 0.7500 0.5000
0.7927 0.2500 0.5000
0.5000 0.7500 0.0000
0.5000 0.2500 0.0000
0.0000 0.0000 0.0000
0.0000 0.5000 0.0000
0.7164 0.9068 0.8136
0.7164 0.5932 0.1864
0.2836 0.4068 0.8136
0.2836 0.0932 0.1864

(9)
RbCaCuO3 PBE relaxed; space-group type = C2/m, No. 12; ΔE_f (raw) = -1.529 eV per atom
1.0
3.7883 0.0000 0.0000
-1.8941 6.4893 -0.0509
0.0000 -1.9607 7.5442
Rb Ca Cu O
2 2 2 6
direct
0.3539 0.7079 0.9328
0.6461 0.2921 0.0672
0.6529 0.3058 0.5734
0.3471 0.6942 0.4266
0.0085 0.0171 0.2926
0.9915 0.9829 0.7074
0.8609 0.7218 0.2308
0.8422 0.6843 0.6323
0.5053 0.0106 0.3129
0.1578 0.3157 0.3677
0.4947 0.9894 0.6871
0.1391 0.2782 0.7692

(10)
Ca2CuRhO6 PBE relaxed; space-group type = C2, No. 5; ΔE_f (raw) = -1.453 eV per atom
1.0
-1.0578 -6.2097 1.6072
2.9643 1.0528 5.6892
-5.5219 1.4714 2.8230
Ca Cu Rh O
4 2 2 12
direct
0.2410 0.3875 0.6189
0.8977 0.1023 0.0000
0.6125 0.7590 0.3811
0.1005 0.8995 0.5000
0.6860 0.3140 0.5000
0.3367 0.6633 0.0000
0.4982 0.0011 0.7612
0.9989 0.5018 0.2388
0.2071 0.0774 0.7964
0.5173 0.8775 0.0458
0.0735 0.2250 0.3193
0.9226 0.7929 0.2036
0.2921 0.6216 0.2916
0.6125 0.2838 0.7855
0.8828 0.5214 0.5362
0.7750 0.9265 0.6807
0.4786 0.1172 0.4638
0.3784 0.7079 0.7084
0.7162 0.3875 0.2145
0.1225 0.4827 0.9542

(11)
Ca3CuRhO6 PBE relaxed; space-group type = C2/c, No. 15; ΔE_f (raw) = -1.925 eV per atom
1.0
-2.1032 -3.5245 -5.0922
4.9420 -4.1603 1.0223
-3.7284 -3.5097 3.9309
Ca Cu Rh O
6 2 2 12
direct
0.2362 0.3867 0.3749
0.3867 0.2362 0.8749
0.0973 0.9027 0.2500
0.7638 0.6133 0.6251
0.9027 0.0973 0.7500
0.6133 0.7638 0.1251
0.3101 0.6899 0.7500
0.6899 0.3101 0.2500
0.0000 0.5000 0.0000
0.5000 0.0000 0.5000
0.0824 0.2088 0.0645
0.8929 0.5253 0.2944
0.2088 0.0824 0.5645
0.7912 0.9176 0.4355
0.6084 0.2917 0.5429
0.2917 0.6084 0.0429
0.5253 0.8929 0.7944
0.9176 0.7912 0.9355
0.1071 0.4747 0.7056
0.7083 0.3916 0.9571
0.3916 0.7083 0.4571
0.4747 0.1071 0.2056

(12)
CaCu3Rh4O12 PBE relaxed; space-group type = Im-3, No. 204; ΔE_f (raw) = -0.914 eV per atom
1.0
6.4937 0.0000 0.0000
-2.1646 6.1223 0.0000
-2.1646 -3.0611 5.3020
Ca Cu Rh O
1 3 4 12
direct
0.0000 0.0000 0.0000
0.0000 0.5000 0.5000
0.5000 0.5000 0.0000
0.5000 0.0000 0.5000
0.5000 0.0000 0.0000
0.5000 0.5000 0.5000
0.0000 0.5000 0.0000
0.0000 0.0000 0.5000
0.3084 0.8339 0.1424
0.6916 0.1661 0.8576
0.6916 0.8339 0.5255
0.8576 0.6916 0.1661
0.8339 0.1424 0.3084
0.1661 0.4745 0.3084
0.4745 0.3084 0.1661
0.1661 0.8576 0.6916
0.3084 0.1661 0.4745
0.1424 0.3084 0.8339
0.8339 0.5255 0.6916
0.5255 0.6916 0.8339

(13)
Ca2CuRhO6 PBE relaxed; space-group type = P2_1/c, No. 14; ΔE_f (raw) = -1.522 eV per atom
1.0
-1.0861 -4.5710 2.6445
2.8787 -2.9216 -3.8678
6.3758 0.8425 4.1090
Ca Cu Rh O
4 2 2 12
direct
0.0156 0.9357 0.2509
0.5156 0.5643 0.7509
0.9844 0.0643 0.7491
0.4844 0.4357 0.2491
0.5000 0.0000 0.0000
0.0000 0.5000 0.5000
0.5000 0.0000 0.5000
0.0000 0.5000 0.0000
0.2988 0.6946 0.0490
0.7988 0.8054 0.5490
0.7012 0.3054 0.9510
0.2012 0.1946 0.4510
0.3098 0.7049 0.4486
0.8098 0.7951 0.9486
0.6902 0.2951 0.5514
0.1902 0.2049 0.0514
0.9014 0.5316 0.2493
0.4014 0.9684 0.7493
0.0986 0.4684 0.7507
0.5986 0.0316 0.2507

(14)
Ca5Cu2Rh2O12 PBE relaxed; space-group type = P1, No. 1; ΔE_f (raw) = -1.717 eV per atom
1.0
6.5822 -0.0326 0.0094
-0.2499 6.5255 -0.0153
-0.0491 -0.1266 6.4140
Ca Cu Rh O
5 2 2 12
direct
0.7517 0.6205 0.3735
0.0691 0.8901 0.7506
0.3885 0.2253 0.1259
0.8979 0.0922 0.2385
0.2412 0.3898 0.6309
0.3174 0.6875 0.2412
0.6862 0.3307 0.7531
0.4982 0.0043 0.5083
0.0035 0.4953 0.0047
0.7851 0.9310 0.5469
0.4704 0.1435 0.7885
0.9334 0.7745 0.0841
0.0848 0.2040 0.9354
0.7174 0.3655 0.0469
0.3808 0.7128 0.5268
0.1260 0.4684 0.2917
0.2111 0.0803 0.4404
0.5212 0.8936 0.2128
0.6085 0.3014 0.4640
0.2867 0.6047 0.9566
0.9065 0.5204 0.7033

(15)
CaCuRhO3 PBE relaxed; space-group type = P2_1/m, No. 11; ΔE_f (raw) = -1.221 eV per atom
1.0
3.1983 0.0000 0.0000
0.0000 5.9287 0.6573
0.0000 -1.6977 8.4183
Ca Cu Rh O
2 2 2 6
direct
0.7500 0.8445 0.8279
0.2500 0.1555 0.1721
0.2500 0.1310 0.5643
0.7500 0.8690 0.4357
0.2500 0.6578 0.1262
0.7500 0.3422 0.8738
0.2500 0.7188 0.3588
0.7500 0.8786 0.1098
0.7500 0.4272 0.1242
0.7500 0.2812 0.6412
0.2500 0.5728 0.8758
0.2500 0.1214 0.8902

(16)
CaCuRhO4 PBE relaxed; space-group type = Imma, No. 74; ΔE_f (raw) = -1.300 eV per atom
1.0
-3.9186 -3.0127 3.6691
-0.1715 -1.0450 -6.2052
5.0026 -2.0719 3.6416
Ca Cu Rh O
2 2 2 8
direct
0.8208 0.6416 0.0708
0.1792 0.3584 0.9292
0.5000 0.5000 0.5000
0.0000 0.5000 0.5000
0.5000 0.0000 0.5000
0.5000 0.0000 0.0000
0.7216 0.4431 0.6537
0.2575 0.9129 0.2064
0.6554 0.9129 0.2064
0.7216 0.4431 0.2894
0.2784 0.5569 0.7106
0.7425 0.0871 0.7936
0.3446 0.0871 0.7936
0.2784 0.5569 0.3463

(17)
CaCuS2O8 PBE relaxed; space-group type = R-3, No. 148; ΔE_f (raw) = -1.521 eV per atom
1.0
-0.4584 -0.8983 4.6519
3.8007 -1.2842 2.5618
2.4341 6.0491 3.8432
Ca Cu S O
1 1 2 8
direct
0.5000 0.5000 0.5000
0.0000 0.0000 0.0000
0.2512 0.2512 0.2464
0.7488 0.7488 0.7536
0.1805 0.1805 0.4586
0.5696 0.2752 0.1825
0.8195 0.8195 0.5414
0.9727 0.5696 0.1825
0.0273 0.4304 0.8175
0.2752 0.9727 0.1825
0.7248 0.0273 0.8175
0.4304 0.7248 0.8175